# 1
Density functional theory data (PBE) for crystalline TaPd2N at its relaxed geometry.

Distance to the lowest polymorph of the same formula: 0 meV/atom
Formation energy without anion corrections: 3.3 eV/f.u.

Cell and atoms, written as CIF:
```
data_TaPd2N
_cell_length_a 5.687
_cell_length_b 5.687
_cell_length_c 8.398
_cell_angle_alpha 90.00
_cell_angle_beta 90.00
_cell_angle_gamma 90.00
_symmetry_space_group_name_H-M 'I -4 2 d'
_symmetry_Int_Tables_number 122
_symmetry_space_group_name_Hall 'I -4 2bw'
loop_
_atom_site_label
_atom_site_type_symbol
_atom_site_fract_x
_atom_site_fract_y
_atom_site_fract_z
_atom_site_occupancy
Ta1 Ta 0.000 0.000 0.000 1
Pd1 Pd 0.176 0.250 0.625 1
N1 N 0.000 0.000 0.500 1
```

# 2
Density functional theory data (PBE) for crystalline LaMn2Ru at its relaxed geometry.

ΔE_f: 622 meV/atom

Cell and atoms, written as CIF:
```
data_LaMn2Ru
_cell_length_a 3.0194
_cell_length_b 3.0194
_cell_length_c 28.3364
_cell_angle_alpha 90.00
_cell_angle_beta 90.00
_cell_angle_gamma 120.00
_symmetry_space_group_name_H-M 'R -3 m'
_symmetry_Int_Tables_number 166
_symmetry_space_group_name_Hall '-R 3 2"'
loop_
_atom_site_label
_atom_site_type_symbol
_atom_site_fract_x
_atom_site_fract_y
_atom_site_fract_z
_atom_site_occupancy
La1 La 0.0000 0.0000 0.0000 1
Mn1 Mn 0.0000 0.0000 0.2346 1
Ru1 Ru 0.0000 0.0000 0.5000 1
```

# 3
Density functional theory data (PBE) for crystalline Pa5Ga3 at its relaxed geometry.

Distance to the lowest polymorph of the same formula: 87 meV/atom
ΔE_f: -81 meV/atom

Cell and atoms, written as CIF:
```
data_Pa5Ga3
_cell_length_a 8.6742
_cell_length_b 8.6742
_cell_length_c 5.8052
_cell_angle_alpha 90.00
_cell_angle_beta 90.00
_cell_angle_gamma 120.00
_symmetry_space_group_name_H-M 'P 63/m c m'
_symmetry_Int_Tables_number 193
_symmetry_space_group_name_Hall '-P 6c 2'
loop_
_atom_site_label
_atom_site_type_symbol
_atom_site_fract_x
_atom_site_fract_y
_atom_site_fract_z
_atom_site_occupancy
Pa1 Pa 0.0000 0.2462 0.2500 1
Pa2 Pa 0.3333 0.6667 0.0000 1
Ga1 Ga 0.0000 0.3927 0.7500 1
```

# 4
Density functional theory data (PBE) for crystalline Ag5Se2F2 at its relaxed geometry.

Distance to the lowest polymorph of the same formula: 28 meV/atom
Formation energy without anion corrections: -4.3 eV/f.u.

Cell and atoms, written as CIF:
```
data_Ag5Se2F2
_cell_length_a 13.403
_cell_length_b 4.254
_cell_length_c 7.554
_cell_angle_alpha 90.00
_cell_angle_beta 116.87
_cell_angle_gamma 90.00
_symmetry_space_group_name_H-M 'C 1 2/m 1'
_symmetry_Int_Tables_number 12
_symmetry_space_group_name_Hall '-C 2y'
loop_
_atom_site_label
_atom_site_type_symbol
_atom_site_fract_x
_atom_site_fract_y
_atom_site_fract_z
_atom_site_occupancy
Ag1 Ag 0.000 0.000 0.000 1
Ag2 Ag 0.124 0.000 0.434 1
Ag3 Ag 0.168 0.500 0.007 1
Se1 Se 0.096 0.000 0.777 1
F1 F 0.186 0.500 0.338 1
```

# 5
Density functional theory data (PBE) for crystalline YHo3Cu at its relaxed geometry.

ΔE_f: -46 meV/atom

Cell and atoms, written as CIF:
```
data_YHo3Cu
_cell_length_a 6.516
_cell_length_b 5.216
_cell_length_c 8.125
_cell_angle_alpha 90.00
_cell_angle_beta 99.10
_cell_angle_gamma 90.00
_symmetry_space_group_name_H-M 'P 1 21/m 1'
_symmetry_Int_Tables_number 11
_symmetry_space_group_name_Hall '-P 2yb'
loop_
_atom_site_label
_atom_site_type_symbol
_atom_site_fract_x
_atom_site_fract_y
_atom_site_fract_z
_atom_site_occupancy
Y1 Y 0.232 0.250 0.225 1
Ho1 Ho 0.144 0.750 0.490 1
Ho2 Ho 0.282 0.750 0.937 1
Ho3 Ho 0.396 0.250 0.674 1
Cu1 Cu 0.042 0.250 0.850 1
```

# 6
Density functional theory data (PBE) for crystalline CsRbNbZn2 at its relaxed geometry.

ΔE_f: 818 meV/atom

Cell and atoms, written as CIF:
```
data_CsRbNbZn2
_cell_length_a 5.492
_cell_length_b 5.492
_cell_length_c 6.333
_cell_angle_alpha 90.00
_cell_angle_beta 90.00
_cell_angle_gamma 90.00
_symmetry_space_group_name_H-M 'P 4/m m m'
_symmetry_Int_Tables_number 123
_symmetry_space_group_name_Hall '-P 4 2'
loop_
_atom_site_label
_atom_site_type_symbol
_atom_site_fract_x
_atom_site_fract_y
_atom_site_fract_z
_atom_site_occupancy
Cs1 Cs 0.000 0.000 0.000 1
Rb1 Rb 0.500 0.500 0.000 1
Nb1 Nb 0.500 0.500 0.500 1
Zn1 Zn 0.000 0.500 0.500 1
```

# 7
Density functional theory data (PBE) for crystalline FeGeH at its relaxed geometry.

Distance to the lowest polymorph of the same formula: 19 meV/atom

Cell and atoms, written as CIF:
```
data_FeGeH
_cell_length_a 5.259
_cell_length_b 10.770
_cell_length_c 4.242
_cell_angle_alpha 90.00
_cell_angle_beta 90.00
_cell_angle_gamma 90.00
_symmetry_space_group_name_H-M 'P n a 21'
_symmetry_Int_Tables_number 33
_symmetry_space_group_name_Hall 'P 2c -2n'
loop_
_atom_site_label
_atom_site_type_symbol
_atom_site_fract_x
_atom_site_fract_y
_atom_site_fract_z
_atom_site_occupancy
Fe1 Fe 0.015 0.098 0.000 1
Fe2 Fe 0.023 0.683 0.251 1
Ge1 Ge 0.158 0.525 0.845 1
Ge2 Ge 0.221 0.278 0.274 1
H1 H 0.110 0.967 0.813 1
H2 H 0.141 0.180 0.712 1
```

# 8
Density functional theory data (PBE) for crystalline Tb4Ho6Th at its relaxed geometry.

Distance to the lowest polymorph of the same formula: 0 meV/atom
ΔE_f: 141 meV/atom

Cell and atoms, written as CIF:
```
data_Tb4Ho6Th
_cell_length_a 5.705
_cell_length_b 9.616
_cell_length_c 25.546
_cell_angle_alpha 90.00
_cell_angle_beta 90.00
_cell_angle_gamma 90.00
_symmetry_space_group_name_H-M 'C m c m'
_symmetry_Int_Tables_number 63
_symmetry_space_group_name_Hall '-C 2c 2'
loop_
_atom_site_label
_atom_site_type_symbol
_atom_site_fract_x
_atom_site_fract_y
_atom_site_fract_z
_atom_site_occupancy
Tb1 Tb 0.000 0.026 0.122 1
Tb2 Tb 0.000 0.342 0.042 1
Ho1 Ho 0.000 0.000 0.000 1
Ho2 Ho 0.000 0.024 0.250 1
Ho3 Ho 0.000 0.313 0.602 1
Ho4 Ho 0.000 0.357 0.183 1
Th1 Th 0.000 0.312 0.750 1
```

no.,raw total energy (eV/atom)
1,-6.815
2,-7.513
3,-7.151
4,-3.248
5,-4.905
6,-2.069
7,-5.343
8,-4.714